[1]
A plane-wave DFT calculation with PBE was carried out for an optimized crystal structure of La2MgW.

## Properties
Formation energy from the elements: 0.4937 eV per atom
Total moment: 0.00 μB per atom

Cell: 6.167 6.167 5.768 Å, 103.73 103.73 29.50°
Fractional coordinates of all 4 atoms:
La1 0.000 0.000 0.000
La2 0.199 0.199 0.644
Mg1 0.430 0.430 0.455
W1 0.749 0.749 0.150

***

[2]
A plane-wave DFT calculation with PBE was carried out for an optimized crystal structure of ReBi2I.

## Properties
Total moment: 0.00 μB per atom
ΔE_f (raw): 0.845 eV/atom

Cell: 8.055 8.055 8.055 Å, 127.30 127.30 77.76°
Fractional coordinates of all 8 atoms:
Re1 0.000 0.000 0.000
Re2 0.750 0.250 0.500
Bi1 0.027 0.625 0.902
Bi2 0.375 0.277 0.402
Bi3 0.723 0.125 0.098
Bi4 0.875 0.973 0.598
I1 0.250 0.750 0.500
I2 0.500 0.500 0.000

***

[3]
A plane-wave DFT calculation with PBE was carried out for an optimized crystal structure of Ba2SrRu.

## Properties
Formation energy from the elements: 0.3695 eV per atom
Total moment: 0.00 μB per atom

Cell: 7.970 7.970 7.970 Å, 151.90 135.77 53.22°
Fractional coordinates of all 4 atoms:
Ba1 0.000 0.000 0.000
Ba2 0.665 0.165 0.500
Sr1 0.330 0.330 0.000
Ru1 0.164 0.664 0.500